No. 1
Np2GaSi3Ni4 | GGA-PBE | relaxed

Computed properties:
ΔE_f (raw) (eV/atom): -0.475
E_tot (eV per atom): -7.305

Cell and atoms, written as CIF:
```
data_Np2GaSi3Ni4
_chemical_formula_sum 'Np2 Ga1 Si3 Ni4'
_cell_length_a 3.982
_cell_length_b 3.982
_cell_length_c 9.624
_cell_angle_alpha 90.00
_cell_angle_beta 90.00
_cell_angle_gamma 90.00
_space_group_name_H-M_alt 'P -4 m 2'
_space_group_IT_number 115
loop_
_space_group_symop_operation_xyz
'x,y,z'
'y,-x,-z'
'-x,-y,z'
'-y,x,-z'
'-x,y,z'
'-y,-x,-z'
'x,-y,z'
'y,x,-z'
loop_
_atom_site_label
_atom_site_type_symbol
_atom_site_fract_x
_atom_site_fract_y
_atom_site_fract_z
Np1 Np 0.000 0.500 0.246
Ga1 Ga 0.000 0.000 0.500
Si1 Si 0.000 0.500 0.873
Si2 Si 0.500 0.500 0.500
Ni1 Ni 0.000 0.000 0.000
Ni2 Ni 0.000 0.500 0.635
Ni3 Ni 0.500 0.500 0.000
```

No. 2
NpGaTcNi | GGA-PBE | relaxed

Computed properties:
ΔE_f (eV per atom): -0.04
E_tot (eV per atom): -8.071

Cell and atoms, written as CIF:
```
data_NpGaTcNi
_chemical_formula_sum 'Np4 Ga4 Tc4 Ni4'
_cell_length_a 6.371
_cell_length_b 6.371
_cell_length_c 6.371
_cell_angle_alpha 90.00
_cell_angle_beta 90.00
_cell_angle_gamma 90.00
_space_group_name_H-M_alt 'F -4 3 m'
_space_group_IT_number 216
_space_group_name_Hall 'F -4 2 3'
loop_
_atom_site_label
_atom_site_type_symbol
_atom_site_fract_x
_atom_site_fract_y
_atom_site_fract_z
Np1 Np 0.000 0.000 0.000
Ga1 Ga 0.000 0.000 0.500
Tc1 Tc 0.250 0.250 0.250
Ni1 Ni 0.250 0.250 0.750
```

Please write out number 1 again, unchanged.
Np2GaSi3Ni4 | GGA-PBE | relaxed

Computed properties:
ΔE_f (raw) (eV/atom): -0.475
E_tot (eV per atom): -7.305

Cell and atoms, written as CIF:
```
data_Np2GaSi3Ni4
_chemical_formula_sum 'Np2 Ga1 Si3 Ni4'
_cell_length_a 3.982
_cell_length_b 3.982
_cell_length_c 9.624
_cell_angle_alpha 90.00
_cell_angle_beta 90.00
_cell_angle_gamma 90.00
_space_group_name_H-M_alt 'P -4 m 2'
_space_group_IT_number 115
loop_
_space_group_symop_operation_xyz
'x,y,z'
'y,-x,-z'
'-x,-y,z'
'-y,x,-z'
'-x,y,z'
'-y,-x,-z'
'x,-y,z'
'y,x,-z'
loop_
_atom_site_label
_atom_site_type_symbol
_atom_site_fract_x
_atom_site_fract_y
_atom_site_fract_z
Np1 Np 0.000 0.500 0.246
Ga1 Ga 0.000 0.000 0.500
Si1 Si 0.000 0.500 0.873
Si2 Si 0.500 0.500 0.500
Ni1 Ni 0.000 0.000 0.000
Ni2 Ni 0.000 0.500 0.635
Ni3 Ni 0.500 0.500 0.000
```